## ZrWBr2 (PBE)

Data for a relaxed ZrWBr2 crystal.

It has space group P4mm (No. 99), with a = 3.1420 Å, b = 3.1420 Å, c = 9.2876 Å, α = 90.00°, β = 90.00° and γ = 90.00°. The inequivalent atoms are Zr at (0.0000, 0.0000, 0.0000), W at (0.5000, 0.5000, 0.7684), Br at (0.0000, 0.0000, 0.5891) and Br at (0.5000, 0.5000, 0.1982).

As for the density of states at the Fermi level: 0.67 states/eV per atom. The calculation puts the total magnetization at 0.00 μB/f.u. Its calculated density is 7.876 Mg/m³. The offset from the most stable computed form is 0.017 eV per atom. Its calculated volume is 91.7 Å³/cell.